Entry from Alexandria via LeMat-Bulk: crystalline NpInNi4P2 at its relaxed geometry (PBE).

Cell and atoms, written as CIF:
```
data_NpInNi4P2
_space_group_name_H-M_alt 'P 4/m m m'
_space_group_IT_number 123
_space_group_name_Hall '-P 4 2'
_cell_length_a 3.736
_cell_length_b 3.736
_cell_length_c 8.685
_cell_angle_alpha 90.00
_cell_angle_beta 90.00
_cell_angle_gamma 90.00
loop_
_atom_site_label
_atom_site_type_symbol
_atom_site_fract_x
_atom_site_fract_y
_atom_site_fract_z
Np1 Np 0.000 0.000 0.000
In1 In 0.000 0.000 0.500
Ni1 Ni 0.000 0.500 0.277
P1 P 0.500 0.500 0.138
```

- formation enthalpy at 0 K (eV/f.u.) = -3.34
- calculated total energy (eV per cell) = -52.96
- total magnetization (μB/cell) = 3.95